Computed, not measured: crystalline Sm2SeCl4 at its relaxed geometry at the PBE-GGA level of DFT.

## Properties
ρ: 4.82 g/cm³
Raw total energy: -5.062 eV per atom
Magnetic moment: 0.01 Bohr magnetons per cell

abc: 8.4419 8.4419 7.1385
angles: 96.98 96.98 45.44
Closest atoms and distances in Å follow each position.
Atoms (fractional coordinates):
Sm 0.1018 0.6742 0.9167  5 Cl 2.77-2.95, 2 Se 2.91
Sm 0.3258 0.8982 0.5833  5 Cl 2.77-2.95, 2 Se 2.91
Sm 0.6742 0.1018 0.4167  5 Cl 2.77-2.95, 2 Se 2.91
Sm 0.8982 0.3258 0.0833  5 Cl 2.77-2.95, 2 Se 2.91
Se 0.0710 0.9290 0.2500  4 Sm 2.91
Se 0.9290 0.0710 0.7500  4 Sm 2.91
Cl 0.1418 0.2999 0.8237  3 Sm 2.81-2.95
Cl 0.2999 0.1418 0.3237  3 Sm 2.81-2.95
Cl 0.3125 0.5092 0.5790  2 Sm 2.77
Cl 0.4908 0.6875 0.9210  2 Sm 2.77
Cl 0.5092 0.3125 0.0790  2 Sm 2.77
Cl 0.6875 0.4908 0.4210  2 Sm 2.77
Cl 0.7001 0.8582 0.6763  3 Sm 2.81-2.95
Cl 0.8582 0.7001 0.1763  3 Sm 2.81-2.95


Computed, not measured: crystalline TaSe4Cl6 at its relaxed geometry at the PBE-GGA level of DFT.

## Properties
ρ: 3.30 g/cm³
Raw total energy: -4.103 eV per atom
Magnetic moment: 1.00 Bohr magnetons per cell

abc: 7.3872 7.5042 7.9990
angles: 66.91 70.54 63.22
Closest atoms and distances in Å follow each position.
Atoms (fractional coordinates):
Ta 0.0000 0.0000 0.0000  6 Cl 2.34-2.39
Se 0.3134 0.4578 0.6827  2 Se 2.37
Se 0.4035 0.7504 0.4935  2 Se 2.37
Se 0.5965 0.2496 0.5065  2 Se 2.37
Se 0.6866 0.5422 0.3173  2 Se 2.37
Cl 0.0173 0.1290 0.2219  1 Ta 2.39
Cl 0.1442 0.6570 0.1811  1 Ta 2.34
Cl 0.3398 0.9908 0.8445  1 Ta 2.38
Cl 0.6602 0.0092 0.1555  1 Ta 2.38
Cl 0.8558 0.3430 0.8189  1 Ta 2.34
Cl 0.9827 0.8710 0.7781  1 Ta 2.39


Computed, not measured: crystalline TbTmSe2Cl2 at its relaxed geometry at the PBE-GGA level of DFT.

## Properties
ρ: 4.90 g/cm³
Raw total energy: -5.353 eV per atom
Magnetic moment: 0.00 Bohr magnetons per cell

abc: 4.0326 5.6258 8.3079
angles: 90.00 90.00 90.00
Closest atoms and distances in Å follow each position.
Atoms (fractional coordinates):
Tb 0.0000 0.0000 0.0000  2 Cl 2.68, 4 Se 2.83-2.89
Tm 0.5000 0.5000 0.2842  2 Cl 2.64, 4 Se 2.83-2.85
Se 0.0000 0.5000 0.0422  2 Tb 2.83, 2 Tm 2.85
Se 0.5000 0.0000 0.2496  2 Tm 2.83, 2 Tb 2.89
Cl 0.0000 0.5000 0.4888  2 Tm 2.64
Cl 0.5000 0.0000 0.7883  2 Tb 2.68


Computed, not measured: crystalline TbYSe2Cl2 at its relaxed geometry at the PBE-GGA level of DFT.

## Properties
ρ: 4.18 g/cm³
Raw total energy: -5.694 eV per atom
Magnetic moment: 0.00 Bohr magnetons per cell

abc: 4.0722 5.6687 8.1957
angles: 90.00 90.00 90.00
Closest atoms and distances in Å follow each position.
Atoms (fractional coordinates):
Tb 0.0000 0.0000 0.0000  2 Cl 2.68, 4 Se 2.85-2.89
Y 0.5000 0.5000 0.2883  2 Cl 2.68, 4 Se 2.85-2.89
Se 0.0000 0.5000 0.0388  2 Tb 2.85, 2 Y 2.89
Se 0.5000 0.0000 0.2508  2 Y 2.85, 2 Tb 2.89
Cl 0.0000 0.5000 0.5004  2 Y 2.68
Cl 0.5000 0.0000 0.7873  2 Tb 2.68


Computed, not measured: crystalline ZrSe2Cl2 at its relaxed geometry at the PBE-GGA level of DFT.

## Properties
ρ: 3.51 g/cm³
Raw total energy: -3.837 eV per atom
Magnetic moment: 2.50 Bohr magnetons per cell

abc: 14.1481 14.1481 14.1481
angles: 160.91 160.91 27.12
Closest atoms and distances in Å follow each position.
Atoms (fractional coordinates):
Zr 0.0490 0.0490 0.0000  1 Zr 2.70, 4 Se 2.71
Zr 0.9510 0.9510 0.0000  1 Zr 2.70, 4 Se 2.71
Se 0.0000 0.5000 0.5000  4 Zr 2.71
Se 0.3134 0.3134 0.0000  1 Cl 2.34
Se 0.5000 0.0000 0.5000  4 Zr 2.71
Se 0.6866 0.6866 0.0000  1 Cl 2.34
Cl 0.2500 0.7500 0.5000  4 Se 2.92
Cl 0.3986 0.3986 0.0000  1 Se 2.34
Cl 0.6014 0.6014 0.0000  1 Se 2.34
Cl 0.7500 0.2500 0.5000  4 Se 2.92


Computed, not measured: crystalline ZrSe4Cl6 at its relaxed geometry at the PBE-GGA level of DFT.

## Properties
ρ: 3.19 g/cm³
Raw total energy: -3.958 eV per atom
Magnetic moment: 0.01 Bohr magnetons per cell

abc: 11.0141 11.0141 10.6441
angles: 90.00 90.00 90.00
Closest atoms and distances in Å follow each position.
Atoms (fractional coordinates):
Zr 0.0000 0.0000 0.0000  6 Cl 2.45-2.51
Zr 0.0000 0.5000 0.5000  6 Cl 2.45-2.51
Zr 0.5000 0.0000 0.5000  6 Cl 2.45-2.51
Zr 0.5000 0.5000 0.0000  6 Cl 2.45-2.51
Se 0.0909 0.0909 0.4186  2 Se 2.34
Se 0.0909 0.4091 0.9186  2 Se 2.34
Se 0.1055 0.6055 0.0000  2 Se 2.34
Se 0.1055 0.8945 0.5000  2 Se 2.34
Se 0.3945 0.6055 0.5000  2 Se 2.34
Se 0.3945 0.8945 0.0000  2 Se 2.34
Se 0.4091 0.0909 0.9186  2 Se 2.34
Se 0.4091 0.4091 0.4186  2 Se 2.34
Se 0.5909 0.5909 0.5814  2 Se 2.34
Se 0.5909 0.9091 0.0814  2 Se 2.34
Se 0.6055 0.1055 0.0000  2 Se 2.34
Se 0.6055 0.3945 0.5000  2 Se 2.34
Se 0.8945 0.1055 0.5000  2 Se 2.34
Se 0.8945 0.3945 0.0000  2 Se 2.34
Se 0.9091 0.5909 0.0814  2 Se 2.34
Se 0.9091 0.9091 0.5814  2 Se 2.34
Cl 0.0578 0.6700 0.6455  1 Zr 2.51
Cl 0.0578 0.8300 0.1455  1 Zr 2.51
Cl 0.1364 0.1364 0.1146  1 Zr 2.45
Cl 0.1364 0.3636 0.6146  1 Zr 2.45
Cl 0.1700 0.5578 0.3545  1 Zr 2.51
Cl 0.1700 0.9422 0.8545  1 Zr 2.51
Cl 0.3300 0.5578 0.8545  1 Zr 2.51
Cl 0.3300 0.9422 0.3545  1 Zr 2.51
Cl 0.3636 0.1364 0.6146  1 Zr 2.45
Cl 0.3636 0.3636 0.1146  1 Zr 2.45
Cl 0.4422 0.6700 0.1455  1 Zr 2.51
Cl 0.4422 0.8300 0.6455  1 Zr 2.51
Cl 0.5578 0.1700 0.3545  1 Zr 2.51
Cl 0.5578 0.3300 0.8545  1 Zr 2.51
Cl 0.6364 0.6364 0.8854  1 Zr 2.45
Cl 0.6364 0.8636 0.3854  1 Zr 2.45
Cl 0.6700 0.0578 0.6455  1 Zr 2.51
Cl 0.6700 0.4422 0.1455  1 Zr 2.51
Cl 0.8300 0.0578 0.1455  1 Zr 2.51
Cl 0.8300 0.4422 0.6455  1 Zr 2.51
Cl 0.8636 0.6364 0.3854  1 Zr 2.45
Cl 0.8636 0.8636 0.8854  1 Zr 2.45
Cl 0.9422 0.1700 0.8545  1 Zr 2.51
Cl 0.9422 0.3300 0.3545  1 Zr 2.51


Computed, not measured: crystalline Sm4SiCl5 at its relaxed geometry at the PBE-GGA level of DFT.

## Properties
ρ: 4.61 g/cm³
Raw total energy: -5.086 eV per atom
Magnetic moment: 0.01 Bohr magnetons per cell

abc: 9.1994 9.1994 8.2770
angles: 103.84 103.84 25.34
Closest atoms and distances in Å follow each position.
Atoms (fractional coordinates):
Sm 0.0003 0.0003 0.2322  2 Si 2.79, 4 Cl 2.89-3.00
Sm 0.9997 0.9997 0.7678  2 Si 2.79, 4 Cl 2.89-3.00
Sm 0.3447 0.3447 0.9093  1 Si 2.70, 4 Cl 2.79-2.86
Sm 0.6553 0.6553 0.0907  1 Si 2.70, 4 Cl 2.79-2.86
Si 0.5000 0.5000 0.0000  6 Sm 2.70-2.79
Cl 0.1661 0.1661 0.3288  3 Sm 2.79-2.89
Cl 0.1712 0.1712 0.8557  4 Sm 2.86-3.04
Cl 0.5000 0.5000 0.5000  4 Sm 3.00
Cl 0.8288 0.8288 0.1443  4 Sm 2.86-3.04
Cl 0.8339 0.8339 0.6712  3 Sm 2.79-2.89


Computed, not measured: crystalline Sm4SiCl5 at its relaxed geometry at the PBE-GGA level of DFT.

## Properties
ρ: 4.61 g/cm³
Raw total energy: -5.086 eV per atom
Magnetic moment: 0.01 Bohr magnetons per cell

abc: 9.1636 9.1636 8.2671
angles: 102.63 102.63 25.44
Closest atoms and distances in Å follow each position.
Atoms (fractional coordinates):
Sm 0.9997 0.9997 0.2322  2 Si 2.79, 4 Cl 2.89-2.99
Sm 0.0003 0.0003 0.7678  2 Si 2.79, 4 Cl 2.89-2.99
Sm 0.3448 0.3448 0.9155  1 Si 2.70, 5 Cl 2.79-3.02
Sm 0.6552 0.6552 0.0845  1 Si 2.70, 5 Cl 2.79-3.02
Si 0.5000 0.5000 0.0000  6 Sm 2.70-2.79
Cl 0.1653 0.1653 0.3219  3 Sm 2.79-2.89
Cl 0.1718 0.1718 0.8489  4 Sm 2.87-3.02
Cl 0.5000 0.5000 0.5000  4 Sm 2.99
Cl 0.8282 0.8282 0.1511  4 Sm 2.87-3.02
Cl 0.8347 0.8347 0.6781  3 Sm 2.79-2.89